Entry 1:
Ho3Au | GGA-PBE | relaxed

abc: 11.988 11.988 6.134
angles: 90.00 90.00 90.00
Space group I-4 (No. 82)
Unique sites:
Ho 0.000 0.144 0.250
Ho 0.096 0.404 0.491
Ho 0.202 0.703 0.523
Au 0.001 0.207 0.750

V, Å³ per cell: 881.4
Energy of formation from the pure elements, eV per formula unit: -1.6

Entry 2:
HfVN | GGA-PBE | relaxed

abc: 3.096 3.890 6.811
angles: 90.00 90.00 90.00
Space group Pmmn (No. 59, origin choice 2)
Unique sites:
Hf 0.250 0.250 0.146
V 0.250 0.250 0.578
N 0.250 0.750 0.622

Formation energy without anion corrections, eV per atom: -0.93
V, Å³ per cell: 82.0